# VMoPO2 | the Alexandria database | GGA+U | relaxed
data_VMoPO2
_chemical_formula_sum 'V1 Mo1 P1 O2'
_cell_length_a 3.850
_cell_length_b 3.850
_cell_length_c 5.307
_cell_angle_alpha 90.00
_cell_angle_beta 90.00
_cell_angle_gamma 90.00
_space_group_name_H-M_alt 'P 4/m m m'
_space_group_IT_number 123
_space_group_name_Hall '-P 4 2'
loop_
_atom_site_label
_atom_site_type_symbol
_atom_site_fract_x
_atom_site_fract_y
_atom_site_fract_z
_atom_site_occupancy
V1 V 0.000 0.000 0.000 1
Mo1 Mo 0.500 0.500 0.500 1
P1 P 0.500 0.500 0.000 1
O1 O 0.000 0.500 0.500 1
# V: 15.736 Å³ per atom
# Distance to the lowest polymorph of the same formula: 49.0 meV/atom